1.
Below is a geometry-optimized LiCu14Rh structure, with properties calculated at the PBE level.

Unit cell a=8.417 b=5.170 c=5.170 alpha=59.52 beta=90.00 gamma=90.00
Element x y z (fractional)
Li 0.000 0.000 0.000
Cu 0.000 0.000 0.503
Cu 0.000 0.503 0.000
Cu 0.250 0.168 0.168
Cu 0.251 0.668 0.668
Cu 0.254 0.166 0.667
Cu 0.254 0.667 0.166
Cu 0.500 0.332 0.332
Cu 0.500 0.332 0.834
Cu 0.500 0.832 0.832
Cu 0.500 0.834 0.332
Cu 0.746 0.166 0.667
Cu 0.746 0.667 0.166
Cu 0.749 0.668 0.668
Cu 0.750 0.168 0.168
Rh 0.000 0.500 0.500

Values from the calculation:
The magnetic moment is 0.00 Bohr magnetons per cell. As for the symmetry: Amm2, No. 38. For the formation enthalpy at 0 K, the calculation gives -0.0064 eV per atom.

=====

2.
Below is a geometry-optimized Li4Cu2Rh structure, with properties calculated at the PBE level.

Unit cell a=5.236 b=5.236 c=5.236 alpha=119.91 beta=119.91 gamma=90.15
Element x y z (fractional)
Li 0.018 0.018 0.589
Li 0.429 0.429 0.411
Li 0.571 0.982 0.000
Li 0.982 0.571 0.000
Cu 0.000 0.500 0.500
Cu 0.500 0.000 0.500
Rh 0.500 0.500 0.000

Values from the calculation:
The magnetic moment is 0.00 Bohr magnetons per cell. The calculation puts the energy above the most stable polymorph in this dataset at 0.037 eV per formula unit. As for the symmetry: I-42m, No. 121. For the formation enthalpy at 0 K, the calculation gives -0.0285 eV per atom.

=====

3.
Below is a geometry-optimized LiCu2Rh structure, with properties calculated at the PBE level.

Unit cell a=8.752 b=8.752 c=8.752 alpha=17.38 beta=17.38 gamma=17.38
Element x y z (fractional)
Li 0.000 0.000 0.000
Cu 0.499 0.499 0.499
Cu 0.752 0.752 0.752
Rh 0.250 0.250 0.250

Values from the calculation:
The magnetic moment is 0.25 Bohr magnetons per cell. As for the symmetry: R3m, No. 160. For the formation enthalpy at 0 K, the calculation gives 0.0086 eV per atom.

=====

4.
Below is a geometry-optimized LiCu2Rh structure, with properties calculated at the PBE level.

Unit cell a=4.632 b=4.632 c=4.499 alpha=98.89 beta=98.89 gamma=32.46
Element x y z (fractional)
Li 0.000 0.000 0.000
Cu 0.246 0.246 0.749
Cu 0.754 0.754 0.251
Rh 0.500 0.500 0.500

Values from the calculation:
The magnetic moment is 0.52 Bohr magnetons per cell. As for the symmetry: C2/m, No. 12. For the formation enthalpy at 0 K, the calculation gives -0.0192 eV per atom.